[1]
Here is a relaxed structure of Sm4Tm6Sc from Alexandria. Energies are from PBE.

The calculation puts the uncorrected energy at -0.326 Ry per atom.

It has space group I-42m (No. 121), with a = 6.521 Å, b = 6.521 Å, c = 16.821 Å, α = 90.00°, β = 90.00° and γ = 90.00°. Symmetry generates all atoms from Sm at (0.187, 0.187, 0.327), Tm at (0.000, 0.500, 0.000), Tm at (0.179, 0.179, 0.127) and Sc at (0.000, 0.000, 0.500).

***

[2]
Here is a relaxed structure of Sm2Tm5Sc4 from Alexandria. Energies are from PBE.

The energy above the lowest structure with this stoichiometry is 4.518 eV/f.u. The calculation puts the uncorrected energy at -0.342 Ry per atom.

It has space group Immm (No. 71), with a = 3.314 Å, b = 8.935 Å, c = 23.083 Å, α = 90.00°, β = 90.00° and γ = 90.00°. Symmetry generates all atoms from Sm at (0.000, 0.000, 0.110), Tm at (0.000, 0.323, 0.157), Tm at (0.000, 0.500, 0.500), Sc at (0.000, 0.000, 0.242) and Sc at (0.000, 0.317, 0.000).

***

[3]
Here is a relaxed structure of Sm3Tm2Sc2 from Alexandria. Energies are from PBE.

The energy above the lowest structure with this stoichiometry is 0.000 eV/f.u. The calculation puts the uncorrected energy at -0.372 Ry per atom.

It has space group Cmmm (No. 65), with a = 5.216 Å, b = 23.432 Å, c = 3.450 Å, α = 90.00°, β = 90.00° and γ = 90.00°. Symmetry generates all atoms from Sm at (0.000, 0.000, 0.000), Sm at (0.000, 0.156, 0.000), Tm at (0.000, 0.426, 0.500) and Sc at (0.000, 0.284, 0.500).